! Ba2CuAuN | Alexandria via LeMat-Bulk | PBE-GGA | optimized geometry; values from VASP
&SYSTEM
  ibrav = 0, nat = 10, ntyp = 4
/
ATOMIC_SPECIES
Cu 63.55 Cu.upf
Ba 137.33 Ba.upf
Au 196.97 Au.upf
N 14.01 N.upf
CELL_PARAMETERS angstrom
4.305 0.000 0.000
0.000 7.022 -0.026
0.000 -3.048 8.813
ATOMIC_POSITIONS crystal
Cu 0.250 0.540 0.748
Ba 0.750 0.785 0.034
Au 0.750 0.322 0.694
Ba 0.250 0.215 0.966
N 0.750 0.179 0.168
N 0.250 0.821 0.832
Cu 0.750 0.460 0.252
Ba 0.750 0.811 0.626
Au 0.250 0.678 0.306
Ba 0.250 0.189 0.374
! Energy relative to the elements, uncorrected ... -0.42 eV/atom
! Total magnetic moment ... 0.00 μB per cell
! Symmetry ... No. 11

***

! La6P2AuBr3 | Alexandria via LeMat-Bulk | PBE-GGA | optimized geometry; values from VASP
&SYSTEM
  ibrav = 0, nat = 12, ntyp = 4
/
ATOMIC_SPECIES
Br 79.90 Br.upf
Au 196.97 Au.upf
La 138.91 La.upf
P 30.97 P.upf
CELL_PARAMETERS angstrom
-5.184 -4.705 2.623
1.400 0.300 -7.338
6.286 -3.661 2.315
ATOMIC_POSITIONS crystal
Br 0.836 0.164 0.500
Au 0.000 0.000 0.000
La 0.273 0.273 0.779
Br 0.164 0.836 0.500
La 0.926 0.579 0.777
La 0.727 0.727 0.221
La 0.421 0.074 0.223
P 0.667 0.333 0.000
Br 0.500 0.500 0.500
La 0.579 0.926 0.777
P 0.333 0.667 0.000
La 0.074 0.421 0.223
! Energy relative to the elements, uncorrected ... -1.39 eV/atom
! Total magnetic moment ... 0.00 μB per cell
! Symmetry ... No. 12

***

! SnBRh3 | Alexandria via LeMat-Bulk | PBE-GGA | optimized geometry; values from VASP
&SYSTEM
  ibrav = 0, nat = 10, ntyp = 3
/
ATOMIC_SPECIES
Sn 118.71 Sn.upf
B 10.81 B.upf
Rh 102.91 Rh.upf
CELL_PARAMETERS angstrom
4.521 0.000 0.000
0.000 6.004 0.000
0.000 -3.002 5.199
ATOMIC_POSITIONS crystal
Sn 0.473 0.873 0.379
Sn 0.973 0.540 0.712
B 0.755 0.207 0.046
Rh 0.973 0.088 0.282
Rh 0.473 0.324 0.828
Rh 0.473 0.872 0.928
B 0.192 0.207 0.046
Rh 0.973 0.970 0.691
Rh 0.473 0.424 0.381
Rh 0.973 0.562 0.164
! Energy relative to the elements ... -386 meV per atom
! Total magnetic moment ... 0.00 μB per cell
! Symmetry ... No. 174

***

How do the records compare in DFT total energy? In the order shown, they have -4.327; -5.447; -6.933 eV/atom.
How do the records compare in theoretical density? In the order shown, they have 6.855; 6.327; 10.314 g cm⁻³.